Entry from Alexandria: CaAlAg after structural relaxation (PBE-GGA).

Unit cell a=5.8640 b=5.8640 c=5.9274 alpha=85.62 beta=125.00 gamma=119.83
Fractional coordinates of all 6 atoms:
1 Ca 0.7504 0.3817 0.1321
2 Al 0.0000 0.0000 0.5000
3 Ca 0.2496 0.6183 0.8679
4 Al 0.5000 0.5000 0.5000
5 Ag 0.2500 0.9881 0.2381
6 Ag 0.7500 0.0119 0.7619

## Properties
- ΔH_f (0 K): -0.1033 eV/atom
- Space group: No. 12